[1]
Sm2Ga3: optimized geometry, PBE-GGA.

## Properties
Space group: No. 63
Density in g/cm³: 7.2
Energy of formation from the pure elements in meV/atom: -652
Crystal system: orthorhombic

Cell and atoms, written as extended XYZ:
```
10
Lattice="4.235 0.000 -0.697 0.000 4.220 0.000 -0.005 0.000 13.185" Properties=species:S:1:pos:R:3 pbc="T T T"
Ga 0.100 1.055 0.607
Ga 3.498 1.055 8.036
Ga 4.131 3.165 11.880
Ga 0.500 1.055 3.037
Ga 0.733 3.165 4.451
Ga 3.731 3.165 9.451
Sm 2.976 1.055 4.868
Sm 1.809 1.055 10.987
Sm 2.422 3.165 1.500
Sm 1.254 3.165 7.619
```

=====

[2]
La12CeAg6: optimized geometry, PBE-GGA.

## Properties
Space group: No. 148
Density in g/cm³: 7.1
Energy of formation from the pure elements in meV/atom: -48
Crystal system: trigonal

Cell and atoms, written as extended XYZ:
```
19
Lattice="8.232 0.718 0.861 -0.538 8.246 0.861 -0.538 -0.627 8.267" Properties=species:S:1:pos:R:3 pbc="T T T"
La 2.809 6.662 5.591
La 6.160 4.825 4.725
La 3.835 3.430 7.554
La 7.229 7.288 6.630
La 4.347 1.675 4.397
La 6.108 5.049 9.302
La -0.073 1.049 3.358
La 3.321 4.908 2.434
La 0.997 3.513 5.264
La 4.065 7.937 8.356
La 3.091 0.401 1.633
La 1.048 3.288 0.686
Ag 5.917 2.604 1.777
Ag 0.371 6.043 2.879
Ag 1.239 5.734 8.212
Ag 6.785 2.294 7.109
Ag 5.480 7.705 3.528
Ag 1.677 0.632 6.461
Ce 0.000 0.000 0.000
```

=====

[3]
Cs2AcMg3F12: optimized geometry, PBE-GGA.

## Properties
Space group: No. 166
Density in g/cm³: 4.3
Formation energy (no corrections) in eV per atom: -3.309
Crystal system: trigonal

Cell and atoms, written as extended XYZ:
```
18
Lattice="7.428 -0.126 -0.090 3.558 6.521 -0.090 3.558 2.071 6.184" Properties=species:S:1:pos:R:3 pbc="T T T"
F 9.237 7.537 5.346
F 3.430 4.156 0.659
F 6.250 3.638 5.568
F 5.308 0.930 0.659
F 11.115 6.470 2.300
F 6.250 6.458 1.593
F 11.115 4.310 5.346
F 3.430 1.996 3.705
F 8.294 2.009 4.412
F 8.294 4.828 0.437
F 5.843 6.220 4.412
F 8.702 2.246 1.593
Mg 1.779 1.036 3.092
Mg 1.779 3.261 -0.045
Mg 3.714 -0.063 -0.045
Ac 0.000 0.000 0.000
Cs 5.700 3.318 2.353
Cs 8.844 5.148 3.652
```

=====

[4]
CaHf2W: optimized geometry, PBE-GGA.

## Properties
Space group: No. 122
Density in g/cm³: 7.3
Energy of formation from the pure elements in meV/atom: 1489
Crystal system: tetragonal
Excess energy over the best structure of this formula in the dataset in eV/atom: 1.020

Cell and atoms, written as extended XYZ:
```
8
Lattice="-1.805 3.497 3.732 -4.772 -2.575 0.104 -0.250 -4.910 8.422" Properties=species:S:1:pos:R:3 pbc="T T T"
Hf -4.631 0.234 5.447
Hf -1.476 -2.701 7.729
Hf -2.348 -0.937 9.594
Hf -2.233 1.499 5.372
Ca -4.155 -3.512 5.222
Ca -3.289 0.461 1.918
W 0.000 0.000 0.000
W -2.672 -0.476 7.036
```